This record from Alexandria describes crystalline Sr2Zn3CdAu12 at its relaxed geometry. The functional is PBE-GGA.

Summary:
**ΔE_f**: -113.7 meV per atom
**Density of states at the Fermi level**: 4.77 states/eV/f.u.

Cell: 8.371 8.371 8.371 Å, 63.89 63.89 63.89°
Fractional positions:
Sr  0.104  0.104  0.104
Sr  0.896  0.896  0.896
Zn  0.000  0.500  0.500
Zn  0.500  0.000  0.500
Zn  0.500  0.500  0.000
Cd  0.500  0.500  0.500
Au  0.128  0.637  0.637
Au  0.144  0.144  0.541
Au  0.144  0.541  0.144
Au  0.363  0.363  0.872
Au  0.363  0.872  0.363
Au  0.459  0.856  0.856
Au  0.541  0.144  0.144
Au  0.637  0.128  0.637
Au  0.637  0.637  0.128
Au  0.856  0.459  0.856
Au  0.856  0.856  0.459
Au  0.872  0.363  0.363